No. 1
{"formula": "Ba2Tl6AgPd", "functional": "PBE", "state": "relaxed", "delta_e_f_ev_per_atom": -0.189, "magmom_total_mub_per_fu": 0.0, "final_energy_ev_per_atom": -2.797, "sg": "R-3m (166)", "cell": [[7.503, 0.000, 0.000], [3.752, 6.498, 0.000], [3.752, 2.166, 12.971]], "species": ["Ba", "Ba", "Ba", "Ba", "Tl", "Tl", "Tl", "Tl", "Tl", "Tl", "Tl", "Tl", "Tl", "Tl", "Tl", "Tl", "Ag", "Ag", "Pd", "Pd"], "frac_coords": [[0.869, 0.869, 0.394], [0.131, 0.131, 0.606], [0.698, 0.698, 0.905], [0.302, 0.302, 0.095], [0.923, 0.354, 0.368], [0.354, 0.923, 0.368], [0.354, 0.354, 0.368], [0.077, 0.646, 0.632], [0.646, 0.077, 0.632], [0.646, 0.646, 0.632], [0.736, 0.208, 0.847], [0.208, 0.736, 0.847], [0.208, 0.208, 0.847], [0.264, 0.792, 0.153], [0.792, 0.264, 0.153], [0.792, 0.792, 0.153], [0.000, 0.000, 0.000], [0.500, 0.500, 0.500], [0.577, 0.577, 0.269], [0.423, 0.423, 0.731]]}

=====

No. 2
{"formula": "Nd5Sm2Y2", "functional": "PBE", "state": "relaxed", "delta_e_f_ev_per_atom": 0.200, "magmom_total_mub_per_fu": 0.0, "final_energy_ev_per_atom": -4.934, "sg": "Ima2 (46)", "de_polymorph_mev_per_atom": 103, "cell": [[12.007, 0.000, 0.000], [0.000, 6.875, 0.000], [-6.004, -3.437, 7.536]], "species": ["Nd", "Nd", "Nd", "Nd", "Nd", "Nd", "Nd", "Nd", "Nd", "Nd", "Sm", "Sm", "Sm", "Sm", "Y", "Y", "Y", "Y"], "frac_coords": [[0.193, 0.660, 0.897], [0.807, 0.764, 0.103], [0.204, 0.160, 0.897], [0.796, 0.264, 0.103], [0.374, 0.029, 0.287], [0.626, 0.741, 0.713], [0.413, 0.529, 0.287], [0.587, 0.241, 0.713], [0.012, 0.653, 0.500], [0.988, 0.153, 0.500], [0.000, 0.041, 0.000], [0.500, 0.541, 0.000], [0.254, 0.342, 0.500], [0.746, 0.842, 0.500], [0.132, 0.679, 0.253], [0.868, 0.426, 0.747], [0.621, 0.179, 0.253], [0.379, 0.926, 0.747]]}

=====

No. 3
{"formula": "Sb2PdBr", "functional": "PBE", "state": "relaxed", "magmom_total_mub_per_fu": 0.0, "final_energy_ev_per_atom": -4.041, "raw_formation_energy_ev_per_fu": -1.055, "sg": "R3m (160)", "de_polymorph_mev_per_atom": 0, "cell": [[-1.085, -1.034, -3.980], [2.362, -2.773, -2.196], [-3.528, -6.584, 0.400]], "species": ["Sb", "Sb", "Pd", "Br"], "frac_coords": [[0.056, 0.056, 0.833], [0.280, 0.280, 0.159], [0.666, 0.666, 0.001], [0.498, 0.498, 0.506]]}